Record 1
TlSnCl6 after structural relaxation, computed with PBE.

Properties
Final energy ... -2.9641 eV per atom

Unit cell a=7.2255 b=7.2255 c=7.2255 alpha=54.87 beta=54.87 gamma=54.87
Last column: nearest neighbours and their distance in Å.
Fractional coordinates of all 8 atoms:
1 Tl 0.0000 0.0000 0.0000  6 Cl 2.91
2 Sn 0.5000 0.5000 0.5000  6 Cl 2.48
3 Cl 0.1081 0.7206 0.4399  1 Sn 2.48
4 Cl 0.2794 0.5601 0.8919  1 Sn 2.48
5 Cl 0.4399 0.1081 0.7206  1 Sn 2.48
6 Cl 0.5601 0.8919 0.2794  1 Sn 2.48
7 Cl 0.7206 0.4399 0.1081  1 Sn 2.48
8 Cl 0.8919 0.2794 0.5601  1 Sn 2.48

Record 2
NaCoSeS after structural relaxation, computed with PBE.

Properties
Final energy ... -4.6014 eV per atom

Unit cell a=6.9269 b=6.9269 c=6.9269 alpha=29.64 beta=29.64 gamma=29.64
Last column: nearest neighbours and their distance in Å.
Fractional coordinates of all 4 atoms:
1 Na 0.0000 0.0000 0.0000  3 S 2.86, 3 Se 3.07, 1 Co 3.10
2 Co 0.1561 0.1561 0.1561  3 S 2.32, 3 Se 2.39
3 Se 0.5517 0.5517 0.5517  3 Co 2.39
4 S 0.7672 0.7672 0.7672  3 Co 2.32

Record 3
RbSrGa2F8 after structural relaxation, computed with PBE.

Properties
Final energy ... -4.7292 eV per atom

Unit cell a=5.8171 b=5.8171 c=8.6459 alpha=90.00 beta=90.00 gamma=120.00
Last column: nearest neighbours and their distance in Å.
Fractional coordinates of all 12 atoms:
1 Rb 0.0000 0.0000 0.0000  12 F 3.22-3.36
2 Sr 0.0000 0.0000 0.5000  6 F 2.44
3 Ga 0.3333 0.6667 0.7706  4 F 1.83-1.87
4 Ga 0.6667 0.3333 0.2294  4 F 1.83-1.87
5 F 0.0753 0.3391 0.6911  1 Ga 1.87
6 F 0.2638 0.9247 0.6911  1 Ga 1.87
7 F 0.3333 0.6667 0.9820  1 Ga 1.83
8 F 0.3391 0.2638 0.3089  1 Ga 1.87
9 F 0.6609 0.7362 0.6911  1 Ga 1.87
10 F 0.6667 0.3333 0.0180  1 Ga 1.83
11 F 0.7362 0.0753 0.3089  1 Ga 1.87
12 F 0.9247 0.6609 0.3089  1 Ga 1.87